The following is a PBE calculation of a relaxed structure of NaIn8Pd2, from Alexandria via LeMat-Bulk.

Properties
The density is 7.1 g/cm³. The total moment is 0.00 μB per atom. The density of states at the Fermi level is 3.3 states/eV per cell. Its formation energy is -0.193 eV per atom.

a = 5.240 Å, b = 7.437 Å, c = 7.437 Å
α = 107.81°, β = 96.45°, γ = 96.45°
Atoms (fractional coordinates):
Na: 0.500 0.000 0.000
In: 0.500 0.737 0.263
In: 0.886 0.667 0.919
In: 0.886 0.919 0.667
In: 0.114 0.333 0.081
In: 0.500 0.263 0.737
In: 0.296 0.618 0.618
In: 0.704 0.382 0.382
In: 0.114 0.081 0.333
Pd: 0.000 0.693 0.307
Pd: 0.000 0.307 0.693